An optimized crystal structure of Th3Sc2In4, computed with GGA-PBE.

Properties
Energy relative to the elements ... -297 meV per atom
D(E_F) ... 7.237 states/eV/cell
M_tot ... 0.0 Bohr magnetons per cell

Unit cell a=5.094 b=6.317 c=9.629 alpha=117.47 beta=90.00 gamma=113.78
Atoms (fractional coordinates):
1 Th 0.657 0.314 0.675
2 Th 0.000 0.000 0.000
3 Th 0.343 0.686 0.325
4 Sc 0.624 0.249 0.293
5 Sc 0.376 0.751 0.707
6 In 0.700 0.399 0.039
7 In 0.300 0.601 0.961
8 In 0.931 0.863 0.601
9 In 0.069 0.137 0.399

***

An optimized crystal structure of Th5ScIn4, computed with GGA-PBE.

Properties
Energy relative to the elements ... -77 meV per atom
D(E_F) ... 24.205 states/eV/cell
M_tot ... 0.0 Bohr magnetons per cell

Unit cell a=5.009 b=11.907 c=10.309 alpha=90.00 beta=90.00 gamma=90.00
Atoms (fractional coordinates):
1 Th 0.251 0.840 0.822
2 Th 0.251 0.160 0.822
3 Th 0.748 0.500 0.000
4 Th 0.251 0.840 0.178
5 Th 0.251 0.160 0.178
6 Th 0.749 0.660 0.322
7 Th 0.749 0.340 0.322
8 Th 0.252 0.000 0.500
9 Th 0.749 0.340 0.678
10 Th 0.749 0.660 0.678
11 Sc 0.752 0.000 0.000
12 Sc 0.248 0.500 0.500
13 In 0.752 0.000 0.705
14 In 0.751 0.757 0.000
15 In 0.751 0.243 0.000
16 In 0.752 0.000 0.295
17 In 0.248 0.500 0.205
18 In 0.249 0.743 0.500
19 In 0.249 0.257 0.500
20 In 0.248 0.500 0.795

***

An optimized crystal structure of ThSc12In3, computed with GGA-PBE.

Properties
Energy relative to the elements ... -188 meV per atom
D(E_F) ... 25.700 states/eV/cell
M_tot ... 4.1 Bohr magnetons per cell

Unit cell a=4.570 b=4.570 c=18.308 alpha=90.00 beta=90.00 gamma=90.00
Atoms (fractional coordinates):
1 Th 0.000 0.000 0.000
2 Sc 0.500 0.500 0.000
3 Sc 0.500 0.500 0.257
4 Sc 0.500 0.500 0.500
5 Sc 0.500 0.500 0.743
6 Sc 0.500 0.000 0.131
7 Sc 0.500 0.000 0.377
8 Sc 0.500 0.000 0.623
9 Sc 0.500 0.000 0.869
10 Sc 0.000 0.500 0.131
11 Sc 0.000 0.500 0.377
12 Sc 0.000 0.500 0.623
13 Sc 0.000 0.500 0.869
14 In 0.000 0.000 0.255
15 In 0.000 0.000 0.500
16 In 0.000 0.000 0.745

***

An optimized crystal structure of Th3ScIn12, computed with GGA-PBE.

Properties
Energy relative to the elements ... -334 meV per atom
D(E_F) ... 6.592 states/eV/cell
M_tot ... 0.0 Bohr magnetons per cell

Unit cell a=4.706 b=4.706 c=18.617 alpha=90.00 beta=90.00 gamma=90.00
Atoms (fractional coordinates):
1 Th 0.000 0.000 0.244
2 Th 0.000 0.000 0.500
3 Th 0.000 0.000 0.756
4 Sc 0.000 0.000 0.000
5 In 0.500 0.500 0.000
6 In 0.500 0.500 0.245
7 In 0.500 0.500 0.500
8 In 0.500 0.500 0.755
9 In 0.500 0.000 0.116
10 In 0.500 0.000 0.372
11 In 0.500 0.000 0.628
12 In 0.500 0.000 0.884
13 In 0.000 0.500 0.116
14 In 0.000 0.500 0.372
15 In 0.000 0.500 0.628
16 In 0.000 0.500 0.884

***

An optimized crystal structure of Th2ScIn2, computed with GGA-PBE.

Properties
Energy relative to the elements ... -220 meV per atom
D(E_F) ... 6.913 states/eV/cell
M_tot ... 0.0 Bohr magnetons per cell

Unit cell a=4.637 b=6.265 c=6.265 alpha=62.39 beta=68.28 gamma=68.28
Atoms (fractional coordinates):
1 Th 0.203 0.297 0.297
2 Th 0.797 0.703 0.703
3 Sc 0.000 0.000 0.000
4 In 0.500 0.276 0.724
5 In 0.500 0.724 0.276

***

An optimized crystal structure of Th3ScIn2, computed with GGA-PBE.

Properties
Energy relative to the elements ... -134 meV per atom
D(E_F) ... 14.964 states/eV/cell
M_tot ... 0.0 Bohr magnetons per cell

Unit cell a=6.506 b=6.470 c=9.650 alpha=109.59 beta=109.70 gamma=90.00
Atoms (fractional coordinates):
1 Th 0.446 0.676 0.352
2 Th 0.554 0.324 0.648
3 Th 0.094 0.824 0.648
4 Th 0.906 0.176 0.352
5 Th 0.500 0.750 0.000
6 Th 0.500 0.250 0.000
7 Sc 0.000 0.250 0.000
8 Sc 0.000 0.750 0.000
9 In 0.356 0.133 0.266
10 In 0.644 0.867 0.734
11 In 0.090 0.367 0.734
12 In 0.910 0.633 0.266

***

An optimized crystal structure of ThSc3In, computed with GGA-PBE.

Properties
Energy relative to the elements ... -150 meV per atom
D(E_F) ... 28.101 states/eV/cell
Distance to the lowest polymorph of the same formula ... 0 meV/atom
M_tot ... 0.0 Bohr magnetons per cell

Unit cell a=3.443 b=10.489 c=14.319 alpha=90.00 beta=90.00 gamma=90.00
Atoms (fractional coordinates):
1 Th 0.750 0.857 0.975
2 Th 0.250 0.643 0.475
3 Th 0.750 0.357 0.525
4 Th 0.250 0.143 0.025
5 Sc 0.250 0.601 0.070
6 Sc 0.750 0.399 0.930
7 Sc 0.250 0.101 0.430
8 Sc 0.750 0.899 0.570
9 Sc 0.250 0.382 0.737
10 Sc 0.750 0.118 0.237
11 Sc 0.250 0.882 0.763
12 Sc 0.750 0.636 0.677
13 Sc 0.250 0.364 0.323
14 Sc 0.750 0.136 0.823
15 Sc 0.750 0.618 0.263
16 Sc 0.250 0.864 0.177
17 In 0.250 0.123 0.642
18 In 0.250 0.623 0.858
19 In 0.750 0.377 0.142
20 In 0.750 0.877 0.358

***

An optimized crystal structure of ThSc5In3, computed with GGA-PBE.

Properties
Energy relative to the elements ... -343 meV per atom
D(E_F) ... 16.532 states/eV/cell
M_tot ... 0.0 Bohr magnetons per cell

Unit cell a=6.381 b=8.897 c=8.897 alpha=120.00 beta=90.00 gamma=90.00
Atoms (fractional coordinates):
1 Th 0.000 0.000 0.000
2 Th 0.500 0.000 0.000
3 Sc 0.000 0.667 0.333
4 Sc 0.500 0.333 0.667
5 Sc 0.000 0.333 0.667
6 Sc 0.500 0.667 0.333
7 Sc 0.750 0.672 0.672
8 Sc 0.750 0.000 0.328
9 Sc 0.750 0.328 0.000
10 Sc 0.250 0.328 0.328
11 Sc 0.250 0.000 0.672
12 Sc 0.250 0.672 0.000
13 In 0.750 0.348 0.348
14 In 0.750 0.000 0.652
15 In 0.750 0.652 0.000
16 In 0.250 0.652 0.652
17 In 0.250 0.000 0.348
18 In 0.250 0.348 0.000

***

- Which of these has the highest M_tot?
  ThSc12In3

***

- Number 8 is which compound?
  ThSc5In3